[1]
First-principles (GGA-PBEsol) data for a geometry-optimized LiCo2PbAu structure, as listed in the Alexandria database.

density: 7.13 g cm⁻³
DFT total energy: -3.81 eV per atom
volume: 24.63 Å³ per atom
total magnetic moment: 0.6526 μB/atom

```
data_LiCo2PbAu
_cell_length_a 4.851
_cell_length_b 4.851
_cell_length_c 5.233
_cell_angle_alpha 90.00
_cell_angle_beta 90.00
_cell_angle_gamma 90.00
_symmetry_space_group_name_H-M 'P 4/m m m'
_symmetry_Int_Tables_number 123
_symmetry_space_group_name_Hall '-P 4 2'
loop_
_atom_site_label
_atom_site_fract_x
_atom_site_fract_y
_atom_site_fract_z
_atom_site_occupancy
Li1 0.000 0.000 0.000 1
Co1 0.000 0.500 0.500 1
Pb1 0.500 0.500 0.500 1
Au1 0.500 0.500 0.000 1
```

***

[2]
First-principles (GGA-PBEsol) data for a geometry-optimized LiCoPtAu2 structure, as listed in the Alexandria database.

density: 10.81 g cm⁻³
DFT total energy: -4.29 eV per atom
volume: 20.12 Å³ per atom
total magnetic moment: 0.4725 μB/atom

```
data_LiCoPtAu2
_cell_length_a 4.720
_cell_length_b 4.720
_cell_length_c 4.517
_cell_angle_alpha 90.00
_cell_angle_beta 90.00
_cell_angle_gamma 90.00
_symmetry_space_group_name_H-M 'P 4/m m m'
_symmetry_Int_Tables_number 123
_symmetry_space_group_name_Hall '-P 4 2'
loop_
_atom_site_label
_atom_site_fract_x
_atom_site_fract_y
_atom_site_fract_z
_atom_site_occupancy
Li1 0.000 0.000 0.000 1
Co1 0.500 0.500 0.500 1
Pt1 0.500 0.500 0.000 1
Au1 0.000 0.500 0.500 1
```

***

[3]
First-principles (GGA-PBEsol) data for a geometry-optimized Rb2LiCoAu structure, as listed in the Alexandria database.

density: 3.58 g cm⁻³
DFT total energy: -2.51 eV per atom
volume: 40.25 Å³ per atom
total magnetic moment: 0.4020 μB/atom

```
data_Rb2LiCoAu
_cell_length_a 6.483
_cell_length_b 6.483
_cell_length_c 4.788
_cell_angle_alpha 90.00
_cell_angle_beta 90.00
_cell_angle_gamma 90.00
_symmetry_space_group_name_H-M 'P 4/m m m'
_symmetry_Int_Tables_number 123
_symmetry_space_group_name_Hall '-P 4 2'
loop_
_atom_site_label
_atom_site_fract_x
_atom_site_fract_y
_atom_site_fract_z
_atom_site_occupancy
Rb1 0.000 0.500 0.000 1
Li1 0.000 0.000 0.500 1
Co1 0.500 0.500 0.500 1
Au1 0.500 0.500 0.000 1
```

***

[4]
First-principles (GGA-PBEsol) data for a geometry-optimized Mg2CoAu structure, as listed in the Alexandria database.

density: 8.32 g cm⁻³
DFT total energy: -3.94 eV per atom
volume: 15.19 Å³ per atom
total magnetic moment: 0.0906 μB/atom

```
data_Mg2CoAu
_cell_length_a 4.166
_cell_length_b 4.166
_cell_length_c 3.500
_cell_angle_alpha 90.00
_cell_angle_beta 90.00
_cell_angle_gamma 90.00
_symmetry_space_group_name_H-M 'P 4/m m m'
_symmetry_Int_Tables_number 123
_symmetry_space_group_name_Hall '-P 4 2'
loop_
_atom_site_label
_atom_site_fract_x
_atom_site_fract_y
_atom_site_fract_z
_atom_site_occupancy
Mg1 0.000 0.500 0.000 1
Co1 0.000 0.000 0.500 1
Au1 0.500 0.500 0.500 1
```